(1)
# YZn9Pd3 | Alexandria via LeMat-Bulk | PBE | relaxed
data_YZn9Pd3
_cell_length_a 5.3249
_cell_length_b 12.6577
_cell_length_c 6.7193
_cell_angle_alpha 90.00
_cell_angle_beta 112.05
_cell_angle_gamma 90.00
_space_group_name_H-M_alt 'C 1 2/m 1'
_space_group_IT_number 12
_space_group_name_Hall '-C 2y'
loop_
_atom_site_label
_atom_site_fract_x
_atom_site_fract_y
_atom_site_fract_z
Y1 0.0000 0.0000 0.0000
Zn1 0.0000 0.5000 0.5000
Zn2 0.1026 0.3917 0.2153
Zn3 0.1600 0.1761 0.3460
Pd1 0.0000 0.0000 0.5000
Pd2 0.2500 0.2500 0.0000
# Calculated formation energy ... -384 meV/atom
# Density ... 7.887 Mg/m³
# Raw total energy ... -77.0 eV per cell



(2)
# CsRb2Ge2I7 | Alexandria via LeMat-Bulk | PBE | relaxed
data_CsRb2Ge2I7
_cell_length_a 8.6259
_cell_length_b 8.4337
_cell_length_c 15.8054
_cell_angle_alpha 90.00
_cell_angle_beta 105.36
_cell_angle_gamma 90.00
_space_group_name_H-M_alt 'C 1 2/m 1'
_space_group_IT_number 12
_space_group_name_Hall '-C 2y'
loop_
_atom_site_label
_atom_site_fract_x
_atom_site_fract_y
_atom_site_fract_z
Cs1 0.0000 0.0000 0.0000
Rb1 0.1667 0.0000 0.3591
Ge1 0.1239 0.5000 0.2045
I1 0.0000 0.5000 0.0000
I2 0.1619 0.2494 0.8022
I3 0.2051 0.5000 0.3977
# Raw formation energy ... -0.91 eV per atom
# Density ... 4.006 Mg/m³
# Raw total energy ... -67.7 eV per cell



(3)
# Na8MgTl2 | Alexandria via LeMat-Bulk | PBE | relaxed
data_Na8MgTl2
_cell_length_a 5.3356
_cell_length_b 8.6377
_cell_length_c 15.2861
_cell_angle_alpha 90.00
_cell_angle_beta 90.00
_cell_angle_gamma 90.00
_space_group_name_H-M_alt 'I m m m'
_space_group_IT_number 71
_space_group_name_Hall '-I 2 2'
loop_
_atom_site_label
_atom_site_fract_x
_atom_site_fract_y
_atom_site_fract_z
Na1 0.0000 0.0000 0.1523
Na2 0.0000 0.2119 0.3462
Na3 0.0000 0.3061 0.0000
Mg1 0.0000 0.5000 0.5000
Tl1 0.0000 0.5000 0.2016
# Calculated formation energy ... -8 meV/atom
# Density ... 2.909 Mg/m³
# Raw total energy ... -33.9 eV per cell



(4)
# ScC2S2 | Alexandria via LeMat-Bulk | PBE | relaxed
data_ScC2S2
_cell_length_a 6.6934
_cell_length_b 6.6934
_cell_length_c 2.9164
_cell_angle_alpha 90.00
_cell_angle_beta 90.00
_cell_angle_gamma 90.00
_space_group_name_H-M_alt 'P 4/m b m'
_space_group_IT_number 127
_space_group_name_Hall '-P 4 2ab'
loop_
_atom_site_label
_atom_site_fract_x
_atom_site_fract_y
_atom_site_fract_z
Sc1 0.0000 0.0000 0.0000
C1 0.2133 0.2867 0.0000
S1 0.1751 0.6751 0.5000
# ΔE to the lowest computed polymorph ... 0.035 eV per atom
# Raw formation energy ... 0.57 eV per atom
# Density ... 3.383 Mg/m³
# Raw total energy ... -60.3 eV per cell